1.
{"formula": "Sr3Fe2O5", "functional": "PBE with a Hubbard U", "state": "relaxed", "cell": [[-0.445, 0.513, 3.328], [0.413, -4.002, 0.672], [10.339, 3.292, 0.874]], "species": ["Fe", "Fe", "Sr", "Sr", "Sr", "O", "O", "O", "O", "O"], "fractional_positions": [[0.000, 0.596, 0.192], [0.000, 0.404, 0.808], [0.500, 0.813, 0.627], [0.500, 0.000, 0.000], [0.500, 0.187, 0.373], [0.000, 0.500, 0.000], [0.000, 0.904, 0.809], [0.000, 0.309, 0.618], [0.000, 0.096, 0.191], [0.000, 0.691, 0.382]], "e_above_lowest_polymorph_mev_per_atom": 75}

2.
{"formula": "SrFeO2", "functional": "PBE with a Hubbard U", "state": "relaxed", "cell": [[-4.949, -4.493, -1.753], [-3.366, -6.003, 0.621], [-5.617, -3.800, 1.328]], "species": ["O", "O", "Sr", "Fe"], "fractional_positions": [[0.117, 0.117, 0.117], [0.883, 0.883, 0.883], [0.000, 0.000, 0.000], [0.500, 0.500, 0.500]], "n_ef_per_ev_atom": 0.308}

3.
{"formula": "Sr3Fe2O5", "functional": "PBE with a Hubbard U", "state": "relaxed", "cell": [[3.532, 0.000, 0.000], [0.000, 4.025, 0.000], [-1.766, -2.012, 10.613]], "species": ["Sr", "Sr", "Sr", "O", "O", "O", "O", "O", "Fe", "Fe"], "fractional_positions": [[0.500, 0.500, 0.000], [0.312, 0.312, 0.623], [0.688, 0.688, 0.377], [0.904, 0.404, 0.808], [0.807, 0.807, 0.614], [0.096, 0.596, 0.192], [0.000, 0.000, 0.000], [0.193, 0.193, 0.386], [0.097, 0.097, 0.194], [0.903, 0.903, 0.806]], "e_above_lowest_polymorph_mev_per_atom": 0}

4.
{"formula": "SrFe3O", "functional": "PBE with a Hubbard U", "state": "relaxed", "cell": [[-0.834, 3.698, 4.298], [3.816, -2.847, 3.190], [4.193, 3.327, -2.048]], "species": ["O", "Fe", "Fe", "Fe", "Sr"], "fractional_positions": [[0.500, 0.500, 0.500], [0.000, 0.500, 0.000], [0.500, 0.000, 0.000], [0.000, 0.000, 0.500], [0.000, 0.000, 0.000]], "n_ef_per_ev_atom": 2.118}

| no. | total DFT energy (no corrections) (eV per formula unit) |
| --- | --- |
| 1 | -62.32 |
| 2 | -22.00 |
| 3 | -63.07 |
| 4 | -7.06 |